# Ba2HfVO

An optimized crystal structure of Ba2HfVO (PBE with a Hubbard U, the Alexandria database).

a b c (Å): 6.310 4.880 6.310
angles (deg): 90.00 90.00 90.00
Last column: magnetic moment on the atom in μB.
Fractional positions:
Hf (0.000, 0.000, 0.000)  -0.93
Ba (0.000, 0.000, 0.500)  -0.23
Ba (0.500, 0.000, 0.000)  -0.17
O (0.500, 0.500, 0.500)  -0.49
V (0.000, 0.500, 0.000)  2.44

Summary:
Symmetry: P4/mmm, No. 123
Energy (eV per atom): -4.014